No. 1
Here is a relaxed Sb2PtI crystal from Alexandria via LeMat-Bulk. Energies are from PBE.

Summary:
* polymorph energy (0 for the lowest one): 25.4 meV/atom
* formation energy without anion corrections: -1.08 eV/f.u.
* N(E_F): 5.9 states/eV per cell

```
data_Sb2PtI
_chemical_formula_sum 'Sb6 Pt3 I3'
_cell_length_a 4.2050
_cell_length_b 4.2050
_cell_length_c 22.8843
_cell_angle_alpha 90.00
_cell_angle_beta 90.00
_cell_angle_gamma 120.00
_space_group_name_H-M_alt 'R 3 m'
_space_group_IT_number 160
_space_group_name_Hall 'R 3 -2"'
loop_
_atom_site_label
_atom_site_type_symbol
_atom_site_fract_x
_atom_site_fract_y
_atom_site_fract_z
Sb1 Sb 0.0000 0.0000 0.0000
Sb2 Sb 0.0000 0.0000 0.2263
Pt1 Pt 0.0000 0.0000 0.6116
I1 I 0.0000 0.0000 0.4388
```

=====

No. 2
Here is a relaxed SbPtI crystal from Alexandria via LeMat-Bulk. Energies are from PBE.

Summary:
* polymorph energy (0 for the lowest one): 0.0 meV/atom
* formation energy without anion corrections: -0.91 eV/f.u.

```
data_SbPtI
_chemical_formula_sum 'Sb2 Pt2 I2'
_cell_length_a 6.637
_cell_length_b 3.956
_cell_length_c 7.294
_cell_angle_alpha 90.00
_cell_angle_beta 94.22
_cell_angle_gamma 90.00
_space_group_name_H-M_alt 'P 1 21/m 1'
_space_group_IT_number 11
_space_group_name_Hall '-P 2yb'
loop_
_atom_site_label
_atom_site_type_symbol
_atom_site_fract_x
_atom_site_fract_y
_atom_site_fract_z
Sb1 Sb 0.196 0.250 0.087
Pt1 Pt 0.000 0.250 0.758
I1 I 0.240 0.750 0.592
```

=====

No. 3
Here is a relaxed Sb2PtSeI crystal from Alexandria via LeMat-Bulk. Energies are from PBE.

Summary:
* polymorph energy (0 for the lowest one): 0.0 meV/atom
* formation energy without anion corrections: 2.17 eV/f.u.
* N(E_F): 5.0 states/eV per cell

```
data_Sb2PtSeI
_chemical_formula_sum 'Sb2 Pt1 Se1 I1'
_cell_length_a 5.295
_cell_length_b 5.295
_cell_length_c 5.370
_cell_angle_alpha 90.00
_cell_angle_beta 90.00
_cell_angle_gamma 90.00
_space_group_name_H-M_alt 'P 4/m m m'
_space_group_IT_number 123
_space_group_name_Hall '-P 4 2'
loop_
_atom_site_label
_atom_site_type_symbol
_atom_site_fract_x
_atom_site_fract_y
_atom_site_fract_z
Sb1 Sb 0.000 0.500 0.000
Pt1 Pt 0.000 0.000 0.000
Se1 Se 0.500 0.500 0.500
I1 I 0.000 0.000 0.500
```

=====

No. 4
Here is a relaxed Sb2PtSeI crystal from Alexandria via LeMat-Bulk. Energies are from PBE.

Summary:
* polymorph energy (0 for the lowest one): 671.7 meV/atom
* formation energy without anion corrections: 5.53 eV/f.u.
* N(E_F): 4.8 states/eV per cell

```
data_Sb2PtSeI
_chemical_formula_sum 'Sb2 Pt1 Se1 I1'
_cell_length_a 5.468
_cell_length_b 5.468
_cell_length_c 5.253
_cell_angle_alpha 90.00
_cell_angle_beta 90.00
_cell_angle_gamma 90.00
_space_group_name_H-M_alt 'P 4/m m m'
_space_group_IT_number 123
_space_group_name_Hall '-P 4 2'
loop_
_atom_site_label
_atom_site_type_symbol
_atom_site_fract_x
_atom_site_fract_y
_atom_site_fract_z
Sb1 Sb 0.000 0.500 0.000
Pt1 Pt 0.000 0.000 0.500
Se1 Se 0.500 0.500 0.000
I1 I 0.500 0.500 0.500
```

=====

No. 5
Here is a relaxed SbPtSeI2 crystal from Alexandria via LeMat-Bulk. Energies are from PBE.

Summary:
* polymorph energy (0 for the lowest one): 0.0 meV/atom
* formation energy without anion corrections: 2.21 eV/f.u.
* N(E_F): 4.7 states/eV per cell

```
data_SbPtSeI2
_chemical_formula_sum 'Sb1 Pt1 Se1 I2'
_cell_length_a 5.433
_cell_length_b 5.433
_cell_length_c 5.282
_cell_angle_alpha 90.00
_cell_angle_beta 90.00
_cell_angle_gamma 90.00
_space_group_name_H-M_alt 'P 4/m m m'
_space_group_IT_number 123
_space_group_name_Hall '-P 4 2'
loop_
_atom_site_label
_atom_site_type_symbol
_atom_site_fract_x
_atom_site_fract_y
_atom_site_fract_z
Sb1 Sb 0.000 0.000 0.000
Pt1 Pt 0.000 0.000 0.500
Se1 Se 0.500 0.500 0.000
I1 I 0.000 0.500 0.500
```

=====

No. 6
Here is a relaxed SbPtSeI2 crystal from Alexandria via LeMat-Bulk. Energies are from PBE.

Summary:
* polymorph energy (0 for the lowest one): 650.9 meV/atom
* formation energy without anion corrections: 5.47 eV/f.u.
* N(E_F): 5.7 states/eV per cell

```
data_SbPtSeI2
_chemical_formula_sum 'Sb1 Pt1 Se1 I2'
_cell_length_a 5.368
_cell_length_b 5.368
_cell_length_c 5.867
_cell_angle_alpha 90.00
_cell_angle_beta 90.00
_cell_angle_gamma 90.00
_space_group_name_H-M_alt 'P 4/m m m'
_space_group_IT_number 123
_space_group_name_Hall '-P 4 2'
loop_
_atom_site_label
_atom_site_type_symbol
_atom_site_fract_x
_atom_site_fract_y
_atom_site_fract_z
Sb1 Sb 0.000 0.000 0.000
Pt1 Pt 0.500 0.500 0.000
Se1 Se 0.000 0.000 0.500
I1 I 0.000 0.500 0.500
```

=====

No. 7
Here is a relaxed SiSb2PtI crystal from Alexandria via LeMat-Bulk. Energies are from PBE.

Summary:
* polymorph energy (0 for the lowest one): 0.0 meV/atom
* formation energy without anion corrections: 3.65 eV/f.u.
* N(E_F): 6.1 states/eV per cell

```
data_SiSb2PtI
_chemical_formula_sum 'Si1 Sb2 Pt1 I1'
_cell_length_a 5.233
_cell_length_b 5.233
_cell_length_c 5.509
_cell_angle_alpha 90.00
_cell_angle_beta 90.00
_cell_angle_gamma 90.00
_space_group_name_H-M_alt 'P 4/m m m'
_space_group_IT_number 123
_space_group_name_Hall '-P 4 2'
loop_
_atom_site_label
_atom_site_type_symbol
_atom_site_fract_x
_atom_site_fract_y
_atom_site_fract_z
Si1 Si 0.000 0.000 0.000
Sb1 Sb 0.000 0.500 0.500
Pt1 Pt 0.500 0.500 0.500
I1 I 0.500 0.500 0.000
```

=====

No. 8
Here is a relaxed SiSb2PtI crystal from Alexandria via LeMat-Bulk. Energies are from PBE.

Summary:
* polymorph energy (0 for the lowest one): 241.8 meV/atom
* formation energy without anion corrections: 4.86 eV/f.u.
* N(E_F): 3.4 states/eV per cell

```
data_SiSb2PtI
_chemical_formula_sum 'Si1 Sb2 Pt1 I1'
_cell_length_a 5.200
_cell_length_b 5.200
_cell_length_c 5.111
_cell_angle_alpha 90.00
_cell_angle_beta 90.00
_cell_angle_gamma 90.00
_space_group_name_H-M_alt 'P 4/m m m'
_space_group_IT_number 123
_space_group_name_Hall '-P 4 2'
loop_
_atom_site_label
_atom_site_type_symbol
_atom_site_fract_x
_atom_site_fract_y
_atom_site_fract_z
Si1 Si 0.000 0.000 0.000
Sb1 Sb 0.000 0.500 0.000
Pt1 Pt 0.500 0.500 0.500
I1 I 0.000 0.000 0.500
```

=====

No. 9
Here is a relaxed SnSb2PtI crystal from Alexandria via LeMat-Bulk. Energies are from PBE.

Summary:
* polymorph energy (0 for the lowest one): 0.0 meV/atom
* formation energy without anion corrections: 1.63 eV/f.u.
* N(E_F): 6.0 states/eV per cell

```
data_SnSb2PtI
_chemical_formula_sum 'Sn1 Sb2 Pt1 I1'
_cell_length_a 5.275
_cell_length_b 5.275
_cell_length_c 5.577
_cell_angle_alpha 90.00
_cell_angle_beta 90.00
_cell_angle_gamma 90.00
_space_group_name_H-M_alt 'P 4/m m m'
_space_group_IT_number 123
_space_group_name_Hall '-P 4 2'
loop_
_atom_site_label
_atom_site_type_symbol
_atom_site_fract_x
_atom_site_fract_y
_atom_site_fract_z
Sn1 Sn 0.000 0.000 0.000
Sb1 Sb 0.000 0.500 0.500
Pt1 Pt 0.500 0.500 0.500
I1 I 0.500 0.500 0.000
```

=====

No. 10
Here is a relaxed SrSb2PtI crystal from Alexandria via LeMat-Bulk. Energies are from PBE.

Summary:
* polymorph energy (0 for the lowest one): 1341.0 meV/atom
* formation energy without anion corrections: 5.45 eV/f.u.
* N(E_F): 11.2 states/eV per cell

```
data_SrSb2PtI
_chemical_formula_sum 'Sr1 Sb2 Pt1 I1'
_cell_length_a 6.141
_cell_length_b 6.141
_cell_length_c 5.906
_cell_angle_alpha 90.00
_cell_angle_beta 90.00
_cell_angle_gamma 90.00
_space_group_name_H-M_alt 'P 4/m m m'
_space_group_IT_number 123
_space_group_name_Hall '-P 4 2'
loop_
_atom_site_label
_atom_site_type_symbol
_atom_site_fract_x
_atom_site_fract_y
_atom_site_fract_z
Sr1 Sr 0.000 0.000 0.000
Sb1 Sb 0.000 0.500 0.000
Pt1 Pt 0.500 0.500 0.500
I1 I 0.000 0.000 0.500
```

=====

No. 11
Here is a relaxed SrSb2PtI crystal from Alexandria via LeMat-Bulk. Energies are from PBE.

Summary:
* polymorph energy (0 for the lowest one): 0.0 meV/atom
* formation energy without anion corrections: -1.25 eV/f.u.
* N(E_F): 6.8 states/eV per cell

```
data_SrSb2PtI
_chemical_formula_sum 'Sr1 Sb2 Pt1 I1'
_cell_length_a 5.299
_cell_length_b 5.299
_cell_length_c 5.787
_cell_angle_alpha 90.00
_cell_angle_beta 90.00
_cell_angle_gamma 90.00
_space_group_name_H-M_alt 'P 4/m m m'
_space_group_IT_number 123
_space_group_name_Hall '-P 4 2'
loop_
_atom_site_label
_atom_site_type_symbol
_atom_site_fract_x
_atom_site_fract_y
_atom_site_fract_z
Sr1 Sr 0.000 0.000 0.000
Sb1 Sb 0.000 0.500 0.500
Pt1 Pt 0.500 0.500 0.500
I1 I 0.500 0.500 0.000
```

=====

No. 12
Here is a relaxed Sr2SbPtI crystal from Alexandria via LeMat-Bulk. Energies are from PBE.

Summary:
* formation energy without anion corrections: -2.55 eV/f.u.
* N(E_F): 4.8 states/eV per cell

```
data_Sr2SbPtI
_chemical_formula_sum 'Sr2 Sb1 Pt1 I1'
_cell_length_a 5.969
_cell_length_b 5.969
_cell_length_c 5.186
_cell_angle_alpha 90.00
_cell_angle_beta 90.00
_cell_angle_gamma 90.00
_space_group_name_H-M_alt 'P 4/m m m'
_space_group_IT_number 123
_space_group_name_Hall '-P 4 2'
loop_
_atom_site_label
_atom_site_type_symbol
_atom_site_fract_x
_atom_site_fract_y
_atom_site_fract_z
Sr1 Sr 0.000 0.500 0.000
Sb1 Sb 0.000 0.000 0.500
Pt1 Pt 0.500 0.500 0.000
I1 I 0.500 0.500 0.500
```